# V8Ge3P2 (PBE-GGA, optimized geometry)
data_V8Ge3P2
_chemical_formula_sum 'V16 Ge6 P4'
_symmetry_space_group_name_H-M 'C 1 2/m 1'
_symmetry_Int_Tables_number 12
_symmetry_space_group_name_Hall '-C 2y'
_cell_length_a 13.437
_cell_length_b 6.470
_cell_length_c 4.416
_cell_angle_alpha 90.00
_cell_angle_beta 92.16
_cell_angle_gamma 90.00
loop_
_atom_site_label
_atom_site_type_symbol
_atom_site_fract_x
_atom_site_fract_y
_atom_site_fract_z
V1 V 0.124 0.000 0.029
V2 V 0.136 0.243 0.574
V3 V 0.181 0.500 0.082
Ge1 Ge 0.000 0.000 0.500
Ge2 Ge 0.000 0.308 0.000
P1 P 0.248 0.000 0.399
# Formation energy from the elements ... -135 meV per atom
# Magnetic moment ... 0.0 μB/f.u.